No. 1
Compound: Dy2Ga2Fe2C
Source: the Alexandria database
Functional: PBE
Structure: optimized geometry

Lattice parameters (Å, degrees): 5.7551 5.7551 6.9798 126.21 126.21 40.21
Positions (direct):
1 Dy 0.0567 0.0567 0.2844
2 Dy 0.9433 0.9433 0.7156
3 Ga 0.3400 0.3400 0.2909
4 Ga 0.6600 0.6600 0.7091
5 Fe 0.3066 0.3066 0.9129
6 Fe 0.6934 0.6934 0.0871
7 C 0.5000 0.5000 0.0000

Summary:
**Total magnetic moment**: 0.000 μB per formula unit
**Energy of formation from the pure elements**: -0.4493 eV/atom
**DOS(E_F)**: 4.48 states/eV/cell

---

No. 2
Compound: DyGa2Fe2C
Source: the Alexandria database
Functional: PBE
Structure: optimized geometry

Lattice parameters (Å, degrees): 3.8572 3.8572 5.5327 90.00 90.00 90.00
Positions (direct):
1 Dy 0.0000 0.0000 0.0000
2 Ga 0.5000 0.5000 0.2257
3 Ga 0.5000 0.5000 0.7743
4 Fe 0.0000 0.5000 0.5000
5 Fe 0.5000 0.0000 0.5000
6 C 0.0000 0.0000 0.5000

Summary:
**Total magnetic moment**: 0.000 μB per formula unit
**Energy of formation from the pure elements**: -0.3292 eV/atom
**DOS(E_F)**: 3.31 states/eV/cell

---

No. 3
Compound: DyFe2Ge2C
Source: the Alexandria database
Functional: PBE
Structure: optimized geometry

Lattice parameters (Å, degrees): 3.9366 3.9366 5.3749 90.00 90.00 90.00
Positions (direct):
1 Dy 0.0000 0.0000 0.0000
2 Fe 0.0000 0.5000 0.5000
3 Fe 0.5000 0.0000 0.5000
4 Ge 0.5000 0.5000 0.2291
5 Ge 0.5000 0.5000 0.7709
6 C 0.0000 0.0000 0.5000

Summary:
**Total magnetic moment**: 2.191 μB per formula unit
**Energy of formation from the pure elements**: -0.2741 eV/atom
**DOS(E_F)**: 4.04 states/eV/cell

---

No. 4
Compound: Dy2FeHgC
Source: the Alexandria database
Functional: PBE
Structure: optimized geometry

Lattice parameters (Å, degrees): 5.0380 5.0380 3.7125 90.00 90.00 90.00
Positions (direct):
1 Dy 0.0000 0.5000 0.0000
2 Dy 0.5000 0.0000 0.0000
3 Fe 0.0000 0.0000 0.5000
4 Hg 0.5000 0.5000 0.5000
5 C 0.0000 0.0000 0.0000

Summary:
**Total magnetic moment**: 0.093 μB per formula unit
**Energy of formation from the pure elements**: -0.3743 eV/atom
**DOS(E_F)**: 2.80 states/eV/cell

---

No. 5
Compound: LiDy2FeC
Source: the Alexandria database
Functional: PBE
Structure: optimized geometry

Lattice parameters (Å, degrees): 4.9871 4.9871 3.6735 90.00 90.00 90.00
Positions (direct):
1 Li 0.0000 0.0000 0.0000
2 Dy 0.0000 0.5000 0.5000
3 Dy 0.5000 0.0000 0.5000
4 Fe 0.5000 0.5000 0.0000
5 C 0.5000 0.5000 0.5000

Summary:
**Total magnetic moment**: 0.000 μB per formula unit
**Energy of formation from the pure elements**: -0.1814 eV/atom
**DOS(E_F)**: 3.14 states/eV/cell

---

No. 6
Compound: LiDyFeC
Source: the Alexandria database
Functional: PBE
Structure: optimized geometry

Lattice parameters (Å, degrees): 3.4078 3.4078 10.5574 90.00 90.00 90.00
Positions (direct):
1 Li 0.2500 0.7500 0.0000
2 Li 0.7500 0.2500 0.0000
3 Dy 0.2500 0.2500 0.2815
4 Dy 0.7500 0.7500 0.7185
5 Fe 0.2500 0.7500 0.5000
6 Fe 0.7500 0.2500 0.5000
7 C 0.2500 0.2500 0.5971
8 C 0.7500 0.7500 0.4029

Summary:
**Total magnetic moment**: 0.001 μB per formula unit
**Energy of formation from the pure elements**: -0.0726 eV/atom
**DOS(E_F)**: 5.49 states/eV/cell

---

No. 7
Compound: DyMnFeC
Source: the Alexandria database
Functional: PBE
Structure: optimized geometry

Lattice parameters (Å, degrees): 3.3541 3.3541 10.0171 90.00 90.00 90.00
Positions (direct):
1 Dy 0.2500 0.2500 0.2491
2 Dy 0.7500 0.7500 0.7509
3 Mn 0.2500 0.7500 0.5000
4 Mn 0.7500 0.2500 0.5000
5 Fe 0.2500 0.7500 0.0000
6 Fe 0.7500 0.2500 0.0000
7 C 0.2500 0.2500 0.6131
8 C 0.7500 0.7500 0.3869

Summary:
**Total magnetic moment**: 2.988 μB per formula unit
**Energy of formation from the pure elements**: -0.0087 eV/atom
**DOS(E_F)**: 6.63 states/eV/cell

---

No. 8
Compound: PmDyFeC
Source: the Alexandria database
Functional: PBE
Structure: optimized geometry

Lattice parameters (Å, degrees): 3.7392 3.7392 11.1559 90.00 90.00 90.00
Positions (direct):
1 Pm 0.2500 0.2500 0.2027
2 Pm 0.7500 0.7500 0.7973
3 Dy 0.2500 0.7500 0.5000
4 Dy 0.7500 0.2500 0.5000
5 Fe 0.2500 0.7500 0.0000
6 Fe 0.7500 0.2500 0.0000
7 C 0.2500 0.2500 0.9302
8 C 0.7500 0.7500 0.0698

Summary:
**Total magnetic moment**: 0.000 μB per formula unit
**Energy of formation from the pure elements**: 0.4249 eV/atom
**DOS(E_F)**: 7.40 states/eV/cell